The following is a DFT calculation (PBE) of a relaxed structure of Sr5Pr3H12.

Total moment: 24.91 μB per cell
Theoretical density: 4.08 g/cm³
E_tot: -3.491 eV/atom

Cell: 14.171 14.171 14.171 Å, 90.00 90.00 90.00°
Space group Ia-3d (No. 230)
Unique sites:
Sr: 0.000 0.000 0.000 x16
Sr: 0.000 0.250 0.375 x24
Pr: 0.000 0.250 0.125 x24
H: 0.003 0.074 0.657 x96